1.
Compound: LaMnO2F
Source: the Alexandria database
Functional: PBE+U
Structure: optimized geometry

Calculated values
* space-group type: P4/mmm (123)
* E: -36.77 eV per cell
* volume: 13.595 A^3/atom

abc: 4.1229 4.1229 3.9990
angles: 90.00 90.00 90.00
Closest atoms and distances in Å follow each position.
Element x y z (fractional)
La (0.0000, 0.0000, 0.0000)  8 O 2.87, 4 F 2.92
Mn (0.5000, 0.5000, 0.5000)  2 F 2.00, 4 O 2.06
O (0.0000, 0.5000, 0.5000)  2 Mn 2.06
O (0.5000, 0.0000, 0.5000)  2 Mn 2.06
F (0.5000, 0.5000, 0.0000)  2 Mn 2.00

---

2.
Compound: LaMnOF2
Source: the Alexandria database
Functional: PBE+U
Structure: optimized geometry

Calculated values
* space-group type: P4/mmm (123)
* E: -30.33 eV per cell
* volume: 12.877 A^3/atom

abc: 3.9534 3.9534 4.1196
angles: 90.00 90.00 90.00
Closest atoms and distances in Å follow each position.
Element x y z (fractional)
La (0.0000, 0.0000, 0.0000)  4 O 2.80, 8 F 2.85
Mn (0.5000, 0.5000, 0.5000)  4 F 1.98, 2 O 2.06
O (0.5000, 0.5000, 0.0000)  2 Mn 2.06
F (0.0000, 0.5000, 0.5000)  2 Mn 1.98
F (0.5000, 0.0000, 0.5000)  2 Mn 1.98

---

3.
Compound: LaMnO2F
Source: the Alexandria database
Functional: PBE+U
Structure: optimized geometry

Calculated values
* space-group type: P4/mmm (123)
* E: -33.67 eV per cell
* volume: 19.586 A^3/atom

abc: 4.6330 4.6330 4.5624
angles: 90.00 90.00 90.00
Closest atoms and distances in Å follow each position.
Element x y z (fractional)
La (0.0000, 0.0000, 0.0000)  2 F 2.28, 4 O 2.32
Mn (0.5000, 0.5000, 0.5000)  8 O 3.25, 4 F 3.28
O (0.0000, 0.5000, 0.0000)  2 La 2.32
O (0.5000, 0.0000, 0.0000)  2 La 2.32
F (0.0000, 0.0000, 0.5000)  2 La 2.28

---

4.
Compound: Rb2LaMnF6
Source: the Alexandria database
Functional: PBE+U
Structure: optimized geometry

Calculated values
* space-group type: I4/mmm (139)
* E: -51.50 eV per cell
* volume: 18.391 A^3/atom

abc: 6.3852 6.3852 6.3852
angles: 120.06 120.06 89.90
Closest atoms and distances in Å follow each position.
Element x y z (fractional)
Rb (0.2500, 0.7500, 0.5000)  12 F 3.19
Rb (0.7500, 0.2500, 0.5000)  12 F 3.19
La (0.0000, 0.0000, 0.0000)  6 F 2.32
Mn (0.5000, 0.5000, 0.0000)  6 F 2.19-2.20
F (0.2567, 0.2567, 0.0000)  1 Mn 2.20, 1 La 2.32
F (0.2573, 0.2573, 0.5146)  1 Mn 2.19, 1 La 2.32
F (0.2573, 0.7427, 0.0000)  1 Mn 2.19, 1 La 2.32
F (0.7427, 0.2573, 0.0000)  1 Mn 2.19, 1 La 2.32
F (0.7433, 0.7433, 0.0000)  1 Mn 2.20, 1 La 2.32
F (0.7427, 0.7427, 0.4854)  1 Mn 2.19, 1 La 2.32

---

5.
Compound: LaMn2SF
Source: the Alexandria database
Functional: PBE+U
Structure: optimized geometry

Calculated values
* space-group type: P4/mmm (123)
* E: -28.20 eV per cell
* volume: 22.803 A^3/atom

abc: 4.3993 4.3993 5.8912
angles: 90.00 90.00 90.00
Closest atoms and distances in Å follow each position.
Element x y z (fractional)
La (0.0000, 0.0000, 0.0000)  2 S 2.95, 4 F 3.11
Mn (0.0000, 0.5000, 0.5000)  2 S 2.20
Mn (0.5000, 0.0000, 0.5000)  2 S 2.20
S (0.0000, 0.0000, 0.5000)  4 Mn 2.20
F (0.5000, 0.5000, 0.0000)  4 La 3.11

---

6.
Compound: LaMn2TeF
Source: the Alexandria database
Functional: PBE+U
Structure: optimized geometry

Calculated values
* space-group type: P4/mmm (123)
* E: -28.37 eV per cell
* volume: 24.946 A^3/atom

abc: 4.4967 4.4967 6.1686
angles: 90.00 90.00 90.00
Closest atoms and distances in Å follow each position.
Element x y z (fractional)
La (0.0000, 0.0000, 0.0000)  4 Te 3.18
Mn (0.0000, 0.5000, 0.5000)  2 F 2.25
Mn (0.5000, 0.0000, 0.5000)  2 F 2.25
Te (0.5000, 0.5000, 0.0000)  2 F 3.08, 4 La 3.18
F (0.5000, 0.5000, 0.5000)  4 Mn 2.25

---

7.
Compound: LaMoF2
Source: the Alexandria database
Functional: PBE+U
Structure: optimized geometry

Calculated values
* space-group type: Fm-3m (225)
* E: -21.13 eV per cell
* volume: 18.574 A^3/atom

abc: 4.7187 4.7187 4.7187
angles: 60.00 60.00 60.00
Closest atoms and distances in Å follow each position.
Element x y z (fractional)
La (0.0000, 0.0000, 0.0000)  8 F 2.89
Mo (0.5000, 0.5000, 0.5000)  8 F 2.89
F (0.2500, 0.2500, 0.2500)  4 La 2.89, 4 Mo 2.89
F (0.7500, 0.7500, 0.7500)  4 La 2.89, 4 Mo 2.89

---

8.
Compound: LaMoF2
Source: the Alexandria database
Functional: PBE+U
Structure: optimized geometry

Calculated values
* space-group type: R-3m (166)
* E: -22.47 eV per cell
* volume: 19.613 A^3/atom

abc: 8.0809 8.0809 8.0809
angles: 24.28 24.28 24.28
Closest atoms and distances in Å follow each position.
Element x y z (fractional)
La (0.0000, 0.0000, 0.0000)  6 F 2.62
Mo (0.5000, 0.5000, 0.5000)  2 F 2.18
F (0.4073, 0.4073, 0.4073)  1 Mo 2.18
F (0.5927, 0.5927, 0.5927)  1 Mo 2.18

---

9.
Compound: LaMoF2
Source: the Alexandria database
Functional: PBE+U
Structure: optimized geometry

Calculated values
* space-group type: R-3m (166)
* E: -20.64 eV per cell
* volume: 19.712 A^3/atom

abc: 6.0428 6.0428 6.0428
angles: 39.07 39.07 39.07
Closest atoms and distances in Å follow each position.
Element x y z (fractional)
La (0.0000, 0.0000, 0.0000)  2 F 2.36
Mo (0.5000, 0.5000, 0.5000)  6 F 2.37
F (0.1409, 0.1409, 0.1409)  1 La 2.36, 3 Mo 2.37, 3 F 2.49
F (0.8591, 0.8591, 0.8591)  1 La 2.36, 3 Mo 2.37, 3 F 2.49

---

10.
Compound: LaMo2F11
Source: the Alexandria database
Functional: PBE+U
Structure: optimized geometry

Calculated values
* space-group type: Ibam (72)
* E: -162.21 eV per cell
* volume: 15.629 A^3/atom

abc: 8.4760 8.4760 8.4760
angles: 125.55 107.50 96.77
Closest atoms and distances in Å follow each position.
Element x y z (fractional)
La (0.2500, 0.2500, 0.0000)  8 F 2.42-2.43
La (0.7500, 0.7500, 0.0000)  8 F 2.42-2.43
Mo (0.1799, 0.6374, 0.8173)  7 F 2.03-2.14
Mo (0.3201, 0.1374, 0.4575)  7 F 2.03-2.14
Mo (0.6799, 0.8626, 0.5425)  7 F 2.03-2.14
Mo (0.8201, 0.3626, 0.1827)  7 F 2.03-2.14
F (0.0000, 0.5000, 0.5000)  2 Mo 2.09
F (0.0550, 0.3680, 0.1685)  1 Mo 2.03
F (0.0549, 0.9592, 0.2848)  1 Mo 2.03
F (0.1744, 0.4592, 0.9043)  1 Mo 2.03
F (0.1995, 0.8865, 0.8315)  1 Mo 2.03
F (0.2170, 0.3660, 0.5830)  2 Mo 2.05-2.14
F (0.2830, 0.8660, 0.1489)  2 Mo 2.05-2.14
F (0.3005, 0.1320, 0.6870)  1 Mo 2.03
F (0.3256, 0.2299, 0.2848)  1 Mo 2.03
F (0.4450, 0.6135, 0.3130)  1 Mo 2.03
F (0.4451, 0.7299, 0.9043)  1 Mo 2.03
F (0.5000, 0.0000, 0.5000)  2 Mo 2.09
F (0.5549, 0.2701, 0.0957)  1 Mo 2.03
F (0.5550, 0.3865, 0.6870)  1 Mo 2.03
F (0.6744, 0.7701, 0.7152)  1 Mo 2.03
F (0.6995, 0.8680, 0.3130)  1 Mo 2.03
F (0.7170, 0.1340, 0.8511)  2 Mo 2.05-2.14
F (0.7830, 0.6340, 0.4170)  2 Mo 2.05-2.14
F (0.8005, 0.1135, 0.1685)  1 Mo 2.03
F (0.8256, 0.5408, 0.0957)  1 Mo 2.03
F (0.9451, 0.0408, 0.7152)  1 Mo 2.03
F (0.9450, 0.6320, 0.8315)  1 Mo 2.03

---

11.
Compound: LaMo2F
Source: the Alexandria database
Functional: PBE+U
Structure: optimized geometry

Calculated values
* space-group type: I4_1/amd (141)
* E: -37.94 eV per cell
* volume: 29.265 A^3/atom

abc: 7.0479 7.0479 7.0479
angles: 123.27 123.27 84.43
Closest atoms and distances in Å follow each position.
Element x y z (fractional)
La (0.3750, 0.6250, 0.7500)  12 Mo 3.96-4.26, 4 La 4.25, 4 F 4.25
La (0.6250, 0.3750, 0.2500)  12 Mo 3.96-4.26, 4 La 4.25, 4 F 4.25
Mo (0.0000, 0.0000, 0.0000)  2 F 2.12
Mo (0.0000, 0.0000, 0.5000)  2 F 2.12
Mo (0.0000, 0.5000, 0.0000)  2 F 2.12
Mo (0.5000, 0.0000, 0.5000)  2 F 2.12
F (0.1250, 0.8750, 0.2500)  4 Mo 2.12
F (0.8750, 0.1250, 0.7500)  4 Mo 2.12

---

12.
Compound: LaMo2F
Source: the Alexandria database
Functional: PBE+U
Structure: optimized geometry

Calculated values
* space-group type: Fm-3m (225)
* E: -17.74 eV per cell
* volume: 27.177 A^3/atom

abc: 5.3571 5.3571 5.3571
angles: 60.00 60.00 60.00
Closest atoms and distances in Å follow each position.
Element x y z (fractional)
La (0.0000, 0.0000, 0.0000)  8 Mo 3.28
Mo (0.2500, 0.2500, 0.2500)  4 La 3.28, 4 F 3.28
Mo (0.7500, 0.7500, 0.7500)  4 La 3.28, 4 F 3.28
F (0.5000, 0.5000, 0.5000)  8 Mo 3.28

---

13.
Compound: LaMoF2
Source: the Alexandria database
Functional: PBE+U
Structure: optimized geometry

Calculated values
* space-group type: I-42d (122)
* E: -45.38 eV per cell
* volume: 28.711 A^3/atom

abc: 8.1059 8.1059 8.1059
angles: 138.70 138.70 59.84
Closest atoms and distances in Å follow each position.
Element x y z (fractional)
La (0.0000, 0.0000, 0.0000)  4 F 2.28
La (0.7500, 0.2500, 0.5000)  4 F 2.28
Mo (0.2500, 0.7500, 0.5000)  8 F 3.47-3.83
Mo (0.5000, 0.5000, 0.0000)  8 F 3.47-3.83
F (0.3750, 0.1654, 0.2904)  2 La 2.28
F (0.8346, 0.1250, 0.2096)  2 La 2.28
F (0.8750, 0.0846, 0.7096)  2 La 2.28
F (0.9154, 0.6250, 0.7904)  2 La 2.28

---

14.
Compound: La2MoNF
Source: the Alexandria database
Functional: PBE+U
Structure: optimized geometry

Calculated values
* space-group type: P4/mmm (123)
* E: -28.04 eV per cell
* volume: 24.877 A^3/atom

abc: 5.6098 5.6098 3.9525
angles: 90.00 90.00 90.00
Closest atoms and distances in Å follow each position.
Element x y z (fractional)
La (0.0000, 0.5000, 0.0000)  2 Mo 2.80
La (0.5000, 0.0000, 0.0000)  2 Mo 2.80
Mo (0.0000, 0.0000, 0.0000)  2 N 1.98
N (0.0000, 0.0000, 0.5000)  2 Mo 1.98
F (0.5000, 0.5000, 0.5000)  8 La 3.43

---

15.
Compound: NaLa2MoF
Source: the Alexandria database
Functional: PBE+U
Structure: optimized geometry

Calculated values
* space-group type: P4/mmm (123)
* E: -21.92 eV per cell
* volume: 28.623 A^3/atom

abc: 5.0584 5.0584 5.5933
angles: 90.00 90.00 90.00
Closest atoms and distances in Å follow each position.
Element x y z (fractional)
Na (0.0000, 0.0000, 0.0000)  4 Mo 3.58, 8 La 3.77
La (0.0000, 0.5000, 0.5000)  2 F 2.53
La (0.5000, 0.0000, 0.5000)  2 F 2.53
Mo (0.5000, 0.5000, 0.0000)  2 F 2.80
F (0.5000, 0.5000, 0.5000)  4 La 2.53, 2 Mo 2.80

---

16.
Compound: LaNb2MoF
Source: the Alexandria database
Functional: PBE+U
Structure: optimized geometry

Calculated values
* space-group type: P4/mmm (123)
* E: -33.20 eV per cell
* volume: 19.901 A^3/atom

abc: 4.4403 4.4403 5.0470
angles: 90.00 90.00 90.00
Closest atoms and distances in Å follow each position.
Element x y z (fractional)
La (0.0000, 0.0000, 0.0000)  2 F 2.52
Nb (0.0000, 0.5000, 0.5000)  2 F 2.22
Nb (0.5000, 0.0000, 0.5000)  2 F 2.22
Mo (0.5000, 0.5000, 0.0000)  4 La 3.14, 8 Nb 3.36
F (0.0000, 0.0000, 0.5000)  4 Nb 2.22

---

17.
Compound: La2MoOF
Source: the Alexandria database
Functional: PBE+U
Structure: optimized geometry

Calculated values
* space-group type: P4/mmm (123)
* E: -25.40 eV per cell
* volume: 23.717 A^3/atom

abc: 5.3177 5.3177 4.1936
angles: 90.00 90.00 90.00
Closest atoms and distances in Å follow each position.
Element x y z (fractional)
La (0.0000, 0.5000, 0.0000)  2 Mo 2.66
La (0.5000, 0.0000, 0.0000)  2 Mo 2.66
Mo (0.0000, 0.0000, 0.0000)  2 F 2.10
O (0.5000, 0.5000, 0.5000)  8 La 3.39, 4 F 3.76
F (0.0000, 0.0000, 0.5000)  2 Mo 2.10

---

18.
Compound: La3Mo4O16F
Source: the Alexandria database
Functional: PBE+U
Structure: optimized geometry

Calculated values
* space-group type: P-1 (2)
* E: -362.10 eV per cell
* volume: 16.056 A^3/atom

abc: 7.3606 7.5335 14.8879
angles: 101.40 102.17 100.06
Closest atoms and distances in Å follow each position.
Element x y z (fractional)
La (0.1310, 0.0808, 0.2392)  6 O 2.43-2.70, 1 F 2.47
La (0.1589, 0.6583, 0.3773)  7 O 2.45-2.71, 1 F 2.52
La (0.1755, 0.5435, 0.8933)  6 O 2.39-2.60, 1 F 2.53
La (0.8245, 0.4565, 0.1067)  6 O 2.39-2.60, 1 F 2.53
La (0.8411, 0.3417, 0.6227)  7 O 2.45-2.71, 1 F 2.52
La (0.8690, 0.9192, 0.7608)  6 O 2.43-2.70, 1 F 2.47
Mo (0.2615, 0.2262, 0.4883)  4 O 1.77-1.83
Mo (0.2721, 0.7468, 0.6723)  4 O 1.78-1.83
Mo (0.2947, 0.0660, 0.9851)  4 O 1.78-1.88
Mo (0.3302, 0.5929, 0.1688)  4 O 1.76-1.83
Mo (0.6698, 0.4071, 0.8312)  4 O 1.76-1.83
Mo (0.7053, 0.9340, 0.0149)  4 O 1.78-1.88
Mo (0.7279, 0.2532, 0.3277)  4 O 1.78-1.83
Mo (0.7385, 0.7738, 0.5117)  4 O 1.77-1.83
O (0.0982, 0.2249, 0.5601)  1 Mo 1.77
O (0.1386, 0.8730, 0.8860)  1 Mo 1.86
O (0.1581, 0.5677, 0.7221)  1 Mo 1.83
O (0.1605, 0.6077, 0.0649)  1 Mo 1.81
O (0.1720, 0.9422, 0.7026)  1 Mo 1.78
O (0.1841, 0.4311, 0.2166)  1 Mo 1.83
O (0.1893, 0.3390, 0.3928)  1 Mo 1.83
O (0.2066, 0.2557, 0.9525)  1 Mo 1.78
O (0.2137, 0.6618, 0.5462)  1 Mo 1.79
O (0.2295, 0.0520, 0.0922)  1 Mo 1.78
O (0.2490, 0.9982, 0.4163)  1 Mo 1.81
O (0.3866, 0.8038, 0.2559)  1 Mo 1.76
O (0.4442, 0.8291, 0.9942)  1 Mo 1.88
O (0.4643, 0.4772, 0.8598)  1 Mo 1.79
O (0.4744, 0.2016, 0.2831)  1 Mo 1.79
O (0.4963, 0.3244, 0.5616)  1 Mo 1.78
O (0.5037, 0.6756, 0.4384)  1 Mo 1.78
O (0.5256, 0.7984, 0.7169)  1 Mo 1.79
O (0.5357, 0.5228, 0.1402)  1 Mo 1.79
O (0.5558, 0.1709, 0.0058)  1 Mo 1.88
O (0.6134, 0.1962, 0.7441)  1 Mo 1.76
O (0.7510, 0.0018, 0.5837)  1 Mo 1.81
O (0.7705, 0.9480, 0.9078)  1 Mo 1.78
O (0.7863, 0.3382, 0.4538)  1 Mo 1.79
O (0.7934, 0.7443, 0.0475)  1 Mo 1.78
O (0.8107, 0.6610, 0.6072)  1 Mo 1.83
O (0.8159, 0.5689, 0.7834)  1 Mo 1.83
O (0.8280, 0.0578, 0.2974)  1 Mo 1.78
O (0.8395, 0.3923, 0.9351)  1 Mo 1.81
O (0.8419, 0.4323, 0.2779)  1 Mo 1.83
O (0.8614, 0.1270, 0.1140)  1 Mo 1.86
O (0.9018, 0.7751, 0.4399)  1 Mo 1.77
F (0.0039, 0.7503, 0.2309)  3 La 2.47-2.53, 1 O 2.71
F (0.9961, 0.2497, 0.7691)  3 La 2.47-2.53, 1 O 2.71

---

19.
Compound: LaMoPbF2
Source: the Alexandria database
Functional: PBE+U
Structure: optimized geometry

Calculated values
* space-group type: P4/mmm (123)
* E: -27.54 eV per cell
* volume: 29.009 A^3/atom

abc: 4.5367 4.5367 7.0473
angles: 90.00 90.00 90.00
Closest atoms and distances in Å follow each position.
Element x y z (fractional)
La (0.0000, 0.0000, 0.0000)  4 F 2.27
Mo (0.5000, 0.5000, 0.5000)  4 Pb 3.21
Pb (0.0000, 0.0000, 0.5000)  4 Mo 3.21, 2 La 3.52
F (0.0000, 0.5000, 0.0000)  2 La 2.27
F (0.5000, 0.0000, 0.0000)  2 La 2.27

---

20.
Compound: Rb2LaMoF6
Source: the Alexandria database
Functional: PBE+U
Structure: optimized geometry

Calculated values
* space-group type: I4/mmm (139)
* E: -51.13 eV per cell
* volume: 20.385 A^3/atom

abc: 6.6297 6.6297 6.6297
angles: 120.69 120.69 88.80
Closest atoms and distances in Å follow each position.
Element x y z (fractional)
Rb (0.2500, 0.7500, 0.5000)  12 F 3.28-3.31
Rb (0.7500, 0.2500, 0.5000)  12 F 3.28-3.31
La (0.0000, 0.0000, 0.0000)  6 F 2.31-2.32
Mo (0.5000, 0.5000, 0.0000)  6 F 2.32-2.43
F (0.2439, 0.2439, 0.0000)  1 La 2.31, 1 Mo 2.43
F (0.2504, 0.2504, 0.5007)  1 Mo 2.32, 1 La 2.32
F (0.2504, 0.7496, 0.0000)  1 Mo 2.32, 1 La 2.32
F (0.7496, 0.2504, 0.0000)  1 Mo 2.32, 1 La 2.32
F (0.7496, 0.7496, 0.4993)  1 Mo 2.32, 1 La 2.32
F (0.7561, 0.7561, 0.0000)  1 La 2.31, 1 Mo 2.43

---

21.
Compound: LaTl2MoF
Source: the Alexandria database
Functional: PBE+U
Structure: optimized geometry

Calculated values
* space-group type: P4/mmm (123)
* E: -18.24 eV per cell
* volume: 32.089 A^3/atom

abc: 5.4376 5.4376 5.4263
angles: 90.00 90.00 90.00
Closest atoms and distances in Å follow each position.
Element x y z (fractional)
La (0.0000, 0.0000, 0.0000)  2 Mo 2.71
Tl (0.0000, 0.5000, 0.5000)  2 Mo 2.72
Tl (0.5000, 0.0000, 0.5000)  2 Mo 2.72
Mo (0.0000, 0.0000, 0.5000)  2 La 2.71, 4 Tl 2.72
F (0.5000, 0.5000, 0.0000)  8 Tl 3.84, 4 La 3.84

---

22.
Compound: LaVMoF2
Source: the Alexandria database
Functional: PBE+U
Structure: optimized geometry

Calculated values
* space-group type: P4/mmm (123)
* E: -26.72 eV per cell
* volume: 22.327 A^3/atom

abc: 4.2744 4.2744 6.1100
angles: 90.00 90.00 90.00
Closest atoms and distances in Å follow each position.
Element x y z (fractional)
La (0.0000, 0.0000, 0.0000)  4 Mo 3.02
V (0.5000, 0.5000, 0.5000)  4 F 2.14
Mo (0.5000, 0.5000, 0.0000)  4 La 3.02, 2 V 3.05
F (0.0000, 0.5000, 0.5000)  2 V 2.14
F (0.5000, 0.0000, 0.5000)  2 V 2.14